Version i
PmDyHoZn after structural relaxation, computed with PBE-GGA.

Properties
* V: 437.15 Å³/cell

Cell and atoms, written as CIF:
```
data_PmDyHoZn
_space_group_name_H-M_alt 'F -4 3 m'
_space_group_IT_number 216
_space_group_name_Hall 'F -4 2 3'
_cell_length_a 7.589
_cell_length_b 7.589
_cell_length_c 7.589
_cell_angle_alpha 90.00
_cell_angle_beta 90.00
_cell_angle_gamma 90.00
loop_
_atom_site_label
_atom_site_type_symbol
_atom_site_fract_x
_atom_site_fract_y
_atom_site_fract_z
Pm1 Pm 0.000 0.000 0.000
Dy1 Dy 0.000 0.000 0.500
Ho1 Ho 0.250 0.250 0.750
Zn1 Zn 0.250 0.250 0.250
```

---

Version ii
PmDyHoZn after structural relaxation, computed with PBE-GGA.

Properties
* V: 111.05 Å³/cell

Cell and atoms, written as CIF:
```
data_PmDyHoZn
_space_group_name_H-M_alt 'P 4 m m'
_space_group_IT_number 99
_space_group_name_Hall 'P 4 -2'
_cell_length_a 3.578
_cell_length_b 3.578
_cell_length_c 8.676
_cell_angle_alpha 90.00
_cell_angle_beta 90.00
_cell_angle_gamma 90.00
loop_
_atom_site_label
_atom_site_type_symbol
_atom_site_fract_x
_atom_site_fract_y
_atom_site_fract_z
Pm1 Pm 0.000 0.000 0.000
Dy1 Dy 0.500 0.500 0.703
Ho1 Ho 0.500 0.500 0.296
Zn1 Zn 0.000 0.000 0.498
```

---

Least stable structure: version i

---

Version i
Pr3DyHo2 after structural relaxation, computed with PBE-GGA.

Properties
* V: 825.31 Å³/cell

Cell and atoms, written as CIF:
```
data_Pr3DyHo2
_space_group_name_H-M_alt 'C 1 2/m 1'
_space_group_IT_number 12
_space_group_name_Hall '-C 2y'
_cell_length_a 13.305
_cell_length_b 3.563
_cell_length_c 17.827
_cell_angle_alpha 90.00
_cell_angle_beta 102.45
_cell_angle_gamma 90.00
loop_
_atom_site_label
_atom_site_type_symbol
_atom_site_fract_x
_atom_site_fract_y
_atom_site_fract_z
Pr1 Pr 0.068 0.000 0.168
Pr2 Pr 0.127 0.500 0.990
Pr3 Pr 0.234 0.500 0.338
Dy1 Dy 0.041 0.500 0.681
Ho1 Ho 0.132 0.500 0.501
Ho2 Ho 0.196 0.000 0.834
```

---

Version ii
Pr3DyHo2 after structural relaxation, computed with PBE-GGA.

Properties
* V: 863.65 Å³/cell

Cell and atoms, written as CIF:
```
data_Pr3DyHo2
_space_group_name_H-M_alt 'I m m a'
_space_group_IT_number 74
_space_group_name_Hall '-I 2b 2'
_cell_length_a 11.509
_cell_length_b 11.690
_cell_length_c 6.419
_cell_angle_alpha 90.00
_cell_angle_beta 90.00
_cell_angle_gamma 90.00
loop_
_atom_site_label
_atom_site_type_symbol
_atom_site_fract_x
_atom_site_fract_y
_atom_site_fract_z
Pr1 Pr 0.210 0.000 0.000
Pr2 Pr 0.250 0.250 0.250
Dy1 Dy 0.000 0.250 0.804
Ho1 Ho 0.000 0.096 0.317
```

---

Least stable structure: version ii

---

Version i
PrDyHo6 after structural relaxation, computed with PBE-GGA.

Properties
* V: 783.18 Å³/cell

Cell and atoms, written as CIF:
```
data_PrDyHo6
_space_group_name_H-M_alt 'R -3'
_space_group_IT_number 148
_space_group_name_Hall '-R 3'
_cell_length_a 9.6101
_cell_length_b 9.6101
_cell_length_c 9.7965
_cell_angle_alpha 90.00
_cell_angle_beta 90.00
_cell_angle_gamma 120.00
loop_
_atom_site_label
_atom_site_type_symbol
_atom_site_fract_x
_atom_site_fract_y
_atom_site_fract_z
Pr1 Pr 0.0000 0.0000 0.0000
Dy1 Dy 0.0000 0.0000 0.5000
Ho1 Ho 0.0014 0.7051 0.2509
```

---

Version ii
PrDyHo6 after structural relaxation, computed with PBE-GGA.

Properties
* V: 255.00 Å³/cell

Cell and atoms, written as CIF:
```
data_PrDyHo6
_space_group_name_H-M_alt 'P -1'
_space_group_IT_number 2
_space_group_name_Hall '-P 1'
_cell_length_a 6.521
_cell_length_b 6.544
_cell_length_c 7.480
_cell_angle_alpha 114.93
_cell_angle_beta 115.31
_cell_angle_gamma 90.20
loop_
_atom_site_label
_atom_site_type_symbol
_atom_site_fract_x
_atom_site_fract_y
_atom_site_fract_z
Pr1 Pr 0.000 0.000 0.000
Dy1 Dy 0.500 0.000 0.000
Ho1 Ho 0.235 0.561 0.471
Ho2 Ho 0.252 0.501 0.999
Ho3 Ho 0.268 0.091 0.535
```

---

Least stable structure: version ii

---

Version i
PrDyHo after structural relaxation, computed with PBE-GGA.

Properties
* V: 196.65 Å³/cell

Cell and atoms, written as CIF:
```
data_PrDyHo
_space_group_name_H-M_alt 'P -1'
_space_group_IT_number 2
_space_group_name_Hall '-P 1'
_cell_length_a 3.605
_cell_length_b 6.211
_cell_length_c 9.487
_cell_angle_alpha 77.44
_cell_angle_beta 79.06
_cell_angle_gamma 73.18
loop_
_atom_site_label
_atom_site_type_symbol
_atom_site_fract_x
_atom_site_fract_y
_atom_site_fract_z
Pr1 Pr 0.001 0.251 0.250
Dy1 Dy 0.332 0.252 0.585
Ho1 Ho 0.332 0.753 0.083
```

---

Version ii
PrDyHo after structural relaxation, computed with PBE-GGA.

Properties
* V: 98.47 Å³/cell

Cell and atoms, written as CIF:
```
data_PrDyHo
_space_group_name_H-M_alt 'P -6 m 2'
_space_group_IT_number 187
_space_group_name_Hall 'P -6 2'
_cell_length_a 5.6997
_cell_length_b 5.6997
_cell_length_c 3.5000
_cell_angle_alpha 90.00
_cell_angle_beta 90.00
_cell_angle_gamma 120.00
loop_
_atom_site_label
_atom_site_type_symbol
_atom_site_fract_x
_atom_site_fract_y
_atom_site_fract_z
Pr1 Pr 0.0000 0.0000 0.0000
Dy1 Dy 0.3333 0.6667 0.5000
Ho1 Ho 0.6667 0.3333 0.5000
```

---

Least stable structure: version ii

---

Version i
PrDyHo after structural relaxation, computed with PBE-GGA.

Properties
* V: 206.64 Å³/cell

Cell and atoms, written as CIF:
```
data_PrDyHo
_space_group_name_H-M_alt 'P 4/n m m'
_space_group_IT_number 129
_cell_length_a 4.870
_cell_length_b 4.870
_cell_length_c 8.712
_cell_angle_alpha 90.00
_cell_angle_beta 90.00
_cell_angle_gamma 90.00
loop_
_space_group_symop_operation_xyz
'x,y,z'
'-x,-y,-z'
'-y+1/2,x,z'
'y+1/2,-x,-z'
'-x+1/2,-y+1/2,z'
'x+1/2,y+1/2,-z'
'y,-x+1/2,z'
'-y,x+1/2,-z'
'x+1/2,-y,-z'
'-x+1/2,y,z'
'-y,-x,-z'
'y,x,z'
'-x,y+1/2,-z'
'x,-y+1/2,z'
'y+1/2,x+1/2,-z'
'-y+1/2,-x+1/2,z'
loop_
_atom_site_label
_atom_site_type_symbol
_atom_site_fract_x
_atom_site_fract_y
_atom_site_fract_z
Pr1 Pr 0.250 0.250 0.194
Dy1 Dy 0.250 0.750 0.500
Ho1 Ho 0.250 0.250 0.796
```

---

Version ii
PrDyHo after structural relaxation, computed with PBE-GGA.

Properties
* V: 197.07 Å³/cell

Cell and atoms, written as CIF:
```
data_PrDyHo
_space_group_name_H-M_alt 'P 1 21/m 1'
_space_group_IT_number 11
_space_group_name_Hall '-P 2yb'
_cell_length_a 5.072
_cell_length_b 5.096
_cell_length_c 8.037
_cell_angle_alpha 90.00
_cell_angle_beta 108.45
_cell_angle_gamma 90.00
loop_
_atom_site_label
_atom_site_type_symbol
_atom_site_fract_x
_atom_site_fract_y
_atom_site_fract_z
Pr1 Pr 0.084 0.250 0.168
Dy1 Dy 0.415 0.250 0.830
Ho1 Ho 0.249 0.750 0.499
```

---

Least stable structure: version i

---

Version i
Pr3Dy4Ho after structural relaxation, computed with PBE-GGA.

Properties
* V: 536.34 Å³/cell

Cell and atoms, written as CIF:
```
data_Pr3Dy4Ho
_space_group_name_H-M_alt 'P m n 21'
_space_group_IT_number 31
_space_group_name_Hall 'P 2ac -2'
_cell_length_a 11.552
_cell_length_b 7.344
_cell_length_c 6.322
_cell_angle_alpha 90.00
_cell_angle_beta 90.00
_cell_angle_gamma 90.00
loop_
_atom_site_label
_atom_site_type_symbol
_atom_site_fract_x
_atom_site_fract_y
_atom_site_fract_z
Pr1 Pr 0.000 0.127 0.000
Pr2 Pr 0.250 0.127 0.336
Dy1 Dy 0.000 0.378 0.501
Dy2 Dy 0.000 0.621 0.001
Dy3 Dy 0.248 0.622 0.335
Ho1 Ho 0.000 0.870 0.499
```

---

Version ii
Pr3Dy4Ho after structural relaxation, computed with PBE-GGA.

Properties
* V: 538.00 Å³/cell

Cell and atoms, written as CIF:
```
data_Pr3Dy4Ho
_space_group_name_H-M_alt 'I m m m'
_space_group_IT_number 71
_space_group_name_Hall '-I 2 2'
_cell_length_a 3.497
_cell_length_b 11.746
_cell_length_c 13.097
_cell_angle_alpha 90.00
_cell_angle_beta 90.00
_cell_angle_gamma 90.00
loop_
_atom_site_label
_atom_site_type_symbol
_atom_site_fract_x
_atom_site_fract_y
_atom_site_fract_z
Pr1 Pr 0.000 0.000 0.000
Pr2 Pr 0.000 0.500 0.243
Dy1 Dy 0.000 0.245 0.366
Ho1 Ho 0.000 0.000 0.500
```

---

Least stable structure: version ii